Entry 1:
{"formula": "LaMgTe", "functional": "GGA-PBE", "state": "optimized geometry", "e_above_lowest_polymorph_mev_per_atom": 443, "e_form_raw_mev_per_atom": -391, "magmom_total_mub_per_fu": 0.00, "density_g_cm3": 4.47, "sg": "F-43m, No. 216", "cell": [[-4.231, 2.537, -2.061], [-3.172, -2.502, -3.502], [-4.943, -1.449, 1.431]], "species": ["La", "Mg", "Te"], "frac_coords": [[0.250, 0.250, 0.250], [0.000, 0.000, 0.000], [0.500, 0.500, 0.500]]}

---

Entry 2:
{"formula": "La3MgTe", "functional": "GGA-PBE", "state": "optimized geometry", "e_above_lowest_polymorph_mev_per_atom": 0, "e_form_raw_mev_per_atom": -211, "magmom_total_mub_per_fu": 0.00, "density_g_cm3": 4.38, "sg": "Pm-3m, No. 221", "cell": [[5.997, 0.000, 0.000], [0.000, 5.997, 0.000], [0.000, 0.000, 5.997]], "species": ["Mg", "Te", "La", "La", "La"], "frac_coords": [[0.500, 0.500, 0.500], [0.000, 0.000, 0.000], [0.000, 0.500, 0.000], [0.000, 0.000, 0.500], [0.500, 0.000, 0.000]]}

---

Entry 3:
{"formula": "La2MgTe", "functional": "GGA-PBE", "state": "optimized geometry", "e_above_lowest_polymorph_mev_per_atom": 87, "e_form_raw_mev_per_atom": -648, "magmom_total_mub_per_fu": 0.00, "density_g_cm3": 5.13, "sg": "P4/mmm, No. 123", "cell": [[-3.584, -0.147, 2.893], [-2.690, -1.537, -3.411], [1.526, -6.170, 1.577]], "species": ["La", "La", "Mg", "Te"], "frac_coords": [[0.000, 0.000, 0.875], [0.500, 0.500, 0.375], [0.000, 0.000, 0.375], [0.500, 0.500, 0.875]]}